[1]
Material: BaMgSiIr
Method: DFT, PBE
State: optimized geometry

## Properties
As for the symmetry: P4/nmm, No. 129. Its volume is 220.8 Å³ per cell. The magnetization comes out at 0.00 Bohr magnetons per cell. As for the density of states at the Fermi level: 0.504 states/eV per atom. For the energy relative to the elements, uncorrected, the calculation gives -479 meV/atom.

Cell and atoms, written as extended XYZ:
```
8
Lattice="4.1554 0.0000 0.0000 0.0000 4.1554 0.0000 0.0000 0.0000 12.7895" Properties=species:S:1:pos:R:3 pbc="T T T"
Ba 1.0388 1.0388 2.9380
Ba 3.1165 3.1165 9.8514
Mg 1.0388 3.1165 6.3947
Mg 3.1165 1.0388 6.3947
Si 1.0388 1.0388 11.5716
Si 3.1165 3.1165 1.2179
Ir 1.0388 3.1165 0.0000
Ir 3.1165 1.0388 0.0000
```

=====

[2]
Material: Ba2MgSn3Ir4
Method: DFT, PBE
State: optimized geometry

## Properties
As for the symmetry: P-4m2, No. 115. Its volume is 233.5 Å³ per cell. The magnetization comes out at 0.00 Bohr magnetons per cell. As for the density of states at the Fermi level: 0.540 states/eV per atom. The energy of formation from the pure elements is -0.400 eV per atom.

Cell and atoms, written as extended XYZ:
```
10
Lattice="4.5322 0.0000 0.0000 0.0000 4.5322 0.0000 0.0000 0.0000 11.3680" Properties=species:S:1:pos:R:3 pbc="T T T"
Ba 0.0000 2.2661 2.8362
Ba 2.2661 0.0000 8.5318
Mg 0.0000 0.0000 5.6840
Sn 0.0000 2.2661 9.9485
Sn 2.2661 0.0000 1.4194
Sn 2.2661 2.2661 5.6840
Ir 0.0000 0.0000 0.0000
Ir 0.0000 2.2661 7.1943
Ir 2.2661 0.0000 4.1736
Ir 2.2661 2.2661 0.0000
```

=====

[3]
Material: BaMg2SnIr
Method: DFT, PBE
State: optimized geometry

## Properties
As for the symmetry: P4/mmm, No. 123. Its volume is 136.6 Å³ per cell. The magnetization comes out at 0.00 Bohr magnetons per cell. As for the density of states at the Fermi level: 0.693 states/eV per atom. The energy of formation from the pure elements is -0.372 eV per atom.

Cell and atoms, written as extended XYZ:
```
5
Lattice="5.1527 0.0000 0.0000 0.0000 5.1527 0.0000 0.0000 0.0000 5.1457" Properties=species:S:1:pos:R:3 pbc="T T T"
Ba 0.0000 0.0000 0.0000
Mg 0.0000 2.5763 2.5728
Mg 2.5763 0.0000 2.5728
Sn 2.5763 2.5763 0.0000
Ir 2.5763 2.5763 2.5728
```